Entry from the Alexandria database: a relaxed structure of PmAlPdRu (PBE).

Energy of formation from the pure elements: -478 meV per atom
DOS(E_F): 7.5 states/eV/cell
Uncorrected energy: -6.22 eV per atom

Cell and atoms, written as CIF:
```
data_PmAlPdRu
_chemical_formula_sum 'Pm4 Al4 Pd4 Ru4'
_cell_length_a 6.619
_cell_length_b 6.619
_cell_length_c 6.619
_cell_angle_alpha 90.00
_cell_angle_beta 90.00
_cell_angle_gamma 90.00
_symmetry_space_group_name_H-M 'F -4 3 m'
_symmetry_Int_Tables_number 216
_symmetry_space_group_name_Hall 'F -4 2 3'
loop_
_atom_site_label
_atom_site_fract_x
_atom_site_fract_y
_atom_site_fract_z
Pm1 0.000 0.000 0.000
Al1 0.000 0.000 0.500
Pd1 0.250 0.250 0.250
Ru1 0.250 0.250 0.750
```